The following is a GGA-PBE calculation of PbW2Au after structural relaxation, from the Alexandria database.

Values from the calculation:
The calculation puts the magnetization at 0.00 μB per atom. Its space group is I4/mmm (139). The calculated total energy is -7.28 eV per atom. The calculation puts the formation energy at 365.8 kJ/mol of formula units.

abc: 5.3554 5.3554 5.3554
angles: 135.83 135.83 64.24
Closest atoms and distances in Å follow each position.
Fractional coordinates of all 4 atoms:
Au 0.2500 0.7500 0.5000  4 Pb 2.85, 8 W 3.03
Pb 0.7500 0.2500 0.5000  4 Au 2.85, 8 W 3.03
W 0.0000 0.0000 0.0000  4 W 2.85, 4 Pb 3.03, 4 Au 3.03
W 0.5000 0.5000 0.0000  4 W 2.85, 4 Au 3.03, 4 Pb 3.03